A relaxed Fe2SbPb crystal. Source: the Alexandria database, functional GGA-PBE.

Cell: 3.2781 3.2781 24.2352 Å, 90.00 90.00 120.00°
Closest atoms and distances in Å follow each position.
Space group R-3m (No. 166, hexagonal axes)
Symmetry-distinct sites (fractional):
Fe: 0.0000 0.0000 0.2449  3 Sb 2.68, 3 Pb 2.86
Sb: 0.0000 0.0000 0.5000  6 Fe 2.68
Pb: 0.0000 0.0000 0.0000  6 Fe 2.86

raw formation energy = 0.53 eV/atom
polymorph energy (0 for the lowest one) = 0.331 eV per atom

---

A relaxed InHgBr2 crystal. Source: the Alexandria database, functional GGA-PBE.

Cell: 8.2121 4.6490 8.4665 Å, 90.00 104.11 90.00°
Closest atoms and distances in Å follow each position.
Space group P2_1/m (No. 11)
Symmetry-distinct sites (fractional):
In: 0.2215 0.2500 0.3802  2 Br 2.64, 2 Hg 2.82
Hg: 0.2711 0.7500 0.5751  2 In 2.82, 2 Br 2.89-2.90
Br: 0.0794 0.7500 0.8207  1 In 2.64, 1 Hg 2.90
Br: 0.4173 0.2500 0.1750  1 In 2.64, 1 Hg 2.89

raw formation energy = -0.49 eV/atom
polymorph energy (0 for the lowest one) = 0.076 eV per atom

---

A relaxed RbTlGa2Fe crystal. Source: the Alexandria database, functional GGA-PBE.

Cell: 4.7987 4.7987 5.1571 Å, 90.00 90.00 90.00°
Closest atoms and distances in Å follow each position.
Space group P4/mmm (No. 123)
Symmetry-distinct sites (fractional):
Rb: 0.0000 0.0000 0.0000  4 Tl 3.39, 8 Ga 3.52
Tl: 0.5000 0.5000 0.0000  2 Fe 2.58
Ga: 0.0000 0.5000 0.5000  2 Fe 2.40
Fe: 0.5000 0.5000 0.5000  4 Ga 2.40, 2 Tl 2.58

formation enthalpy at 0 K = 0.01 eV/atom

---

A relaxed K2TeOs crystal. Source: the Alexandria database, functional GGA-PBE.

Cell: 4.2387 4.2387 10.9002 Å, 90.00 90.00 90.00°
Closest atoms and distances in Å follow each position.
Space group I4/mmm (No. 139)
Symmetry-distinct sites (fractional):
K: 0.0000 0.5000 0.2500  4 K 3.00
Te: 0.0000 0.0000 0.0000  4 Os 3.00
Os: 0.0000 0.0000 0.5000  4 Te 3.00

raw formation energy = 0.74 eV/atom

---

Number 1: raw total energy -5.658 eV per atom. Number 2: raw total energy -2.084 eV per atom. Number 3: raw total energy -3.563 eV per atom. Number 4: raw total energy -3.400 eV per atom.